Record 1
Density functional theory data (GGA-PBE) for Ac3Ag2Hg2 after structural relaxation.

E_tot   -2.984 eV per atom
Formation enthalpy at 0 K   -0.32 eV/atom

abc: 11.4307 5.3458 7.1820
angles: 90.00 103.18 90.00
Space group C2/m (No. 12)
Unique sites:
Ac 0.0000 0.0000 0.0000 x2
Ac 0.1455 0.5000 0.7181 x4
Ag 0.1094 0.0000 0.4475 x4
Hg 0.1604 0.5000 0.2251 x4

=====

Record 2
Density functional theory data (GGA-PBE) for Gd2PuZr after structural relaxation.

E_tot   -12.583 eV per atom
Formation enthalpy at 0 K   0.18 eV/atom
Relative energy among the computed polymorphs   0.023 eV/atom

abc: 3.4100 3.4100 33.7446
angles: 90.00 90.00 120.00
Space group R-3m (No. 166, hexagonal axes)
Unique sites:
Gd 0.0000 0.0000 0.2461 x6
Pu 0.0000 0.0000 0.0000 x3
Zr 0.0000 0.0000 0.5000 x3

=====

Record 3
Density functional theory data (GGA-PBE) for La3TcI2 after structural relaxation.

E_tot   -5.444 eV per atom
Formation energy from raw total energies   -4.42 eV/f.u.

abc: 7.7978 13.2227 8.5857
angles: 90.00 109.46 90.00
Space group C2/m (No. 12)
Unique sites:
La 0.1798 0.0000 0.1932 x4
La 0.2289 0.3026 0.1941 x8
Tc 0.0000 0.1763 0.0000 x4
I 0.0000 0.0000 0.5000 x2
I 0.0000 0.3454 0.5000 x4
I 0.0000 0.5000 0.0000 x2

=====

Record 4
Density functional theory data (GGA-PBE) for SrZnTcGe2 after structural relaxation.

E_tot   -4.724 eV per atom
Formation enthalpy at 0 K   -0.21 eV/atom

abc: 4.8215 4.8215 4.9236
angles: 90.00 90.00 90.00
Space group P4/mmm (No. 123)
Unique sites:
Sr 0.0000 0.0000 0.0000 x1
Zn 0.5000 0.5000 0.0000 x1
Tc 0.5000 0.5000 0.5000 x1
Ge 0.0000 0.5000 0.5000 x2

=====

Record 5
Density functional theory data (GGA-PBE) for In6BiCl8 after structural relaxation.

E_tot   -3.072 eV per atom
Formation energy from raw total energies   -10.99 eV/f.u.

abc: 9.7432 9.7432 18.6885
angles: 90.00 90.00 120.00
Space group R-3 (No. 148, hexagonal axes)
Unique sites:
In 0.0308 0.4052 0.4187 x18
Bi 0.0000 0.0000 0.5000 x3
Cl 0.0000 0.0000 0.2070 x6
Cl 0.0073 0.7726 0.4054 x18

=====

Record 6
Density functional theory data (GGA-PBE) for BaSnTe4 after structural relaxation.

E_tot   -3.661 eV per atom
Formation energy from raw total energies   -3.47 eV/f.u.

abc: 15.0315 6.0588 10.8617
angles: 90.00 93.06 90.00
Space group C2/c (No. 15)
Unique sites:
Ba 0.0000 0.1803 0.2500 x4
Sn 0.2500 0.2500 0.0000 x4
Te 0.0499 0.3425 0.9375 x8
Te 0.2296 0.0036 0.2527 x8

=====

Record 7
Density functional theory data (GGA-PBE) for BaLa2PdS after structural relaxation.

E_tot   -4.582 eV per atom
Formation energy from raw total energies   -1.81 eV/f.u.

abc: 5.4175 5.4175 6.7862
angles: 90.00 90.00 90.00
Space group P4/mmm (No. 123)
Unique sites:
Ba 0.0000 0.0000 0.0000 x1
La 0.0000 0.5000 0.5000 x2
Pd 0.0000 0.0000 0.5000 x1
S 0.5000 0.5000 0.0000 x1

=====

Record 8
Density functional theory data (GGA-PBE) for BeTlMo2 after structural relaxation.

E_tot   -6.253 eV per atom
Formation enthalpy at 0 K   0.69 eV/atom
Relative energy among the computed polymorphs   0.324 eV/atom

abc: 5.3917 8.9672 2.8007
angles: 90.00 105.31 90.00
Space group C2/m (No. 12)
Unique sites:
Be 0.0000 0.0000 0.0000 x2
Tl 0.0000 0.5000 0.0000 x2
Mo 0.2500 0.2500 0.5000 x4

=====

Q: Which of these has the lowest E_tot?
A: Gd2PuZr